VASP calculation (PBE-GGA) on an optimized crystal structure of LiTbNdLu.

```
16
Lattice="7.776 0.000 0.000 0.000 7.776 0.000 0.000 0.000 7.776" Properties=species:S:1:pos:R:3 pbc="T T T"
Li 0.000 0.000 0.000
Li 0.000 3.888 3.888
Li 3.888 0.000 3.888
Li 3.888 3.888 0.000
Tb 1.944 1.944 1.944
Tb 1.944 5.832 5.832
Tb 5.832 1.944 5.832
Tb 5.832 5.832 1.944
Nd 1.944 1.944 5.832
Nd 1.944 5.832 1.944
Nd 5.832 1.944 1.944
Nd 5.832 5.832 5.832
Lu 0.000 0.000 3.888
Lu 0.000 3.888 0.000
Lu 3.888 0.000 0.000
Lu 3.888 3.888 3.888
```

N(E_F) ... 16.524 states/eV per cell
Formation enthalpy at 0 K ... 0.149 eV/atom

---

VASP calculation (PBE-GGA) on an optimized crystal structure of LiNdLuTh.

```
16
Lattice="7.767 0.000 0.000 0.000 7.767 0.000 0.000 0.000 7.767" Properties=species:S:1:pos:R:3 pbc="T T T"
Li 0.000 0.000 0.000
Li 0.000 3.883 3.883
Li 3.883 0.000 3.883
Li 3.883 3.883 0.000
Nd 1.942 1.942 5.825
Nd 1.942 5.825 1.942
Nd 5.825 1.942 1.942
Nd 5.825 5.825 5.825
Lu 0.000 0.000 3.883
Lu 0.000 3.883 0.000
Lu 3.883 0.000 0.000
Lu 3.883 3.883 3.883
Th 1.942 1.942 1.942
Th 1.942 5.825 5.825
Th 5.825 1.942 5.825
Th 5.825 5.825 1.942
```

N(E_F) ... 17.611 states/eV per cell
Formation enthalpy at 0 K ... 0.201 eV/atom

---

VASP calculation (PBE-GGA) on an optimized crystal structure of LiNdTmLu.

```
16
Lattice="7.730 0.000 0.000 0.000 7.730 0.000 0.000 0.000 7.730" Properties=species:S:1:pos:R:3 pbc="T T T"
Li 0.000 0.000 0.000
Li 0.000 3.865 3.865
Li 3.865 0.000 3.865
Li 3.865 3.865 0.000
Nd 1.932 1.932 1.932
Nd 1.932 5.797 5.797
Nd 5.797 1.932 5.797
Nd 5.797 5.797 1.932
Tm 1.932 1.932 5.797
Tm 1.932 5.797 1.932
Tm 5.797 1.932 1.932
Tm 5.797 5.797 5.797
Lu 0.000 0.000 3.865
Lu 0.000 3.865 0.000
Lu 3.865 0.000 0.000
Lu 3.865 3.865 3.865
```

N(E_F) ... 14.295 states/eV per cell
Formation enthalpy at 0 K ... 0.158 eV/atom

---

VASP calculation (PBE-GGA) on an optimized crystal structure of LiLu2Ni.

```
4
Lattice="3.391 0.000 0.000 0.000 3.391 0.000 0.000 0.000 7.301" Properties=species:S:1:pos:R:3 pbc="T T T"
Li 0.000 0.000 0.000
Lu 1.696 1.696 2.098
Lu 1.696 1.696 5.203
Ni 0.000 0.000 3.650
```

N(E_F) ... 3.209 states/eV per cell
Formation enthalpy at 0 K ... -0.204 eV/atom

---

VASP calculation (PBE-GGA) on an optimized crystal structure of LiLuNi2.

```
16
Lattice="6.235 0.000 0.000 0.000 6.235 0.000 0.000 0.000 6.235" Properties=species:S:1:pos:R:3 pbc="T T T"
Li 0.000 0.000 0.000
Li 0.000 3.117 3.117
Li 3.117 0.000 3.117
Li 3.117 3.117 0.000
Lu 0.000 0.000 3.117
Lu 0.000 3.117 0.000
Lu 3.117 0.000 0.000
Lu 3.117 3.117 3.117
Ni 1.559 1.559 1.559
Ni 1.559 1.559 4.676
Ni 1.559 4.676 1.559
Ni 1.559 4.676 4.676
Ni 4.676 1.559 1.559
Ni 4.676 1.559 4.676
Ni 4.676 4.676 1.559
Ni 4.676 4.676 4.676
```

N(E_F) ... 10.180 states/eV per cell
Formation enthalpy at 0 K ... -0.188 eV/atom

---

VASP calculation (PBE-GGA) on an optimized crystal structure of LiLuNi2.

```
4
Lattice="4.000 0.000 0.000 0.000 4.000 0.000 0.000 0.000 3.684" Properties=species:S:1:pos:R:3 pbc="T T T"
Li 0.000 0.000 0.000
Lu 2.000 2.000 0.000
Ni 0.000 2.000 1.842
Ni 2.000 0.000 1.842
```

N(E_F) ... 0.677 states/eV per cell
Formation enthalpy at 0 K ... -0.215 eV/atom

---

VASP calculation (PBE-GGA) on an optimized crystal structure of LiLuNi4.

```
6
Lattice="0.000 3.432 3.432 3.432 0.000 3.432 3.432 3.432 0.000" Properties=species:S:1:pos:R:3 pbc="T T T"
Li 0.000 0.000 0.000
Lu 1.716 1.716 1.716
Ni 4.293 2.571 2.571
Ni 2.571 4.293 2.571
Ni 2.571 2.571 4.293
Ni 4.293 4.293 4.293
```

N(E_F) ... 5.827 states/eV per cell
Formation enthalpy at 0 K ... -0.359 eV/atom

---

VASP calculation (PBE-GGA) on an optimized crystal structure of LiLuNi2.

```
4
Lattice="3.248 0.000 0.000 0.000 3.248 0.000 0.000 0.000 5.622" Properties=species:S:1:pos:R:3 pbc="T T T"
Li 0.000 0.000 0.000
Lu 0.000 0.000 2.811
Ni 1.624 1.624 1.257
Ni 1.624 1.624 4.364
```

N(E_F) ... 1.403 states/eV per cell
Formation enthalpy at 0 K ... -0.220 eV/atom

---

VASP calculation (PBE-GGA) on an optimized crystal structure of LiLuNiPb.

```
16
Lattice="6.573 0.000 0.000 0.000 6.573 0.000 0.000 0.000 6.573" Properties=species:S:1:pos:R:3 pbc="T T T"
Li 0.000 0.000 0.000
Li 0.000 3.286 3.286
Li 3.286 0.000 3.286
Li 3.286 3.286 0.000
Lu 1.643 1.643 4.929
Lu 1.643 4.929 1.643
Lu 4.929 1.643 1.643
Lu 4.929 4.929 4.929
Ni 0.000 0.000 3.286
Ni 0.000 3.286 0.000
Ni 3.286 0.000 0.000
Ni 3.286 3.286 3.286
Pb 1.643 1.643 1.643
Pb 1.643 4.929 4.929
Pb 4.929 1.643 4.929
Pb 4.929 4.929 1.643
```

N(E_F) ... 0.667 states/eV per cell
Formation enthalpy at 0 K ... -0.381 eV/atom

---

VASP calculation (PBE-GGA) on an optimized crystal structure of LiLuNiPd.

```
16
Lattice="6.408 0.000 0.000 0.000 6.408 0.000 0.000 0.000 6.408" Properties=species:S:1:pos:R:3 pbc="T T T"
Li 0.000 0.000 0.000
Li 0.000 3.204 3.204
Li 3.204 0.000 3.204
Li 3.204 3.204 0.000
Lu 0.000 0.000 3.204
Lu 0.000 3.204 0.000
Lu 3.204 0.000 0.000
Lu 3.204 3.204 3.204
Ni 1.602 1.602 4.806
Ni 1.602 4.806 1.602
Ni 4.806 1.602 1.602
Ni 4.806 4.806 4.806
Pd 1.602 1.602 1.602
Pd 1.602 4.806 4.806
Pd 4.806 1.602 4.806
Pd 4.806 4.806 1.602
```

N(E_F) ... 7.886 states/eV per cell
Formation enthalpy at 0 K ... -0.455 eV/atom

---

VASP calculation (PBE-GGA) on an optimized crystal structure of LiPmLuNi.

```
16
Lattice="6.978 0.000 0.000 0.000 6.978 0.000 0.000 0.000 6.978" Properties=species:S:1:pos:R:3 pbc="T T T"
Li 0.000 0.000 0.000
Li 0.000 3.489 3.489
Li 3.489 0.000 3.489
Li 3.489 3.489 0.000
Pm 1.745 1.745 1.745
Pm 1.745 5.234 5.234
Pm 5.234 1.745 5.234
Pm 5.234 5.234 1.745
Lu 1.745 1.745 5.234
Lu 1.745 5.234 1.745
Lu 5.234 1.745 1.745
Lu 5.234 5.234 5.234
Ni 0.000 0.000 3.489
Ni 0.000 3.489 0.000
Ni 3.489 0.000 0.000
Ni 3.489 3.489 3.489
```

N(E_F) ... 13.648 states/eV per cell
Formation enthalpy at 0 K ... -0.125 eV/atom

---

VASP calculation (PBE-GGA) on an optimized crystal structure of LiLuNiPt.

```
16
Lattice="6.390 0.000 0.000 0.000 6.390 0.000 0.000 0.000 6.390" Properties=species:S:1:pos:R:3 pbc="T T T"
Li 0.000 0.000 0.000
Li 0.000 3.195 3.195
Li 3.195 0.000 3.195
Li 3.195 3.195 0.000
Lu 0.000 0.000 3.195
Lu 0.000 3.195 0.000
Lu 3.195 0.000 0.000
Lu 3.195 3.195 3.195
Ni 1.597 1.597 1.597
Ni 1.597 4.792 4.792
Ni 4.792 1.597 4.792
Ni 4.792 4.792 1.597
Pt 1.597 1.597 4.792
Pt 1.597 4.792 1.597
Pt 4.792 1.597 1.597
Pt 4.792 4.792 4.792
```

N(E_F) ... 5.476 states/eV per cell
Formation enthalpy at 0 K ... -0.620 eV/atom

---

VASP calculation (PBE-GGA) on an optimized crystal structure of LiLuSiNi.

```
16
Lattice="6.136 0.000 0.000 0.000 6.136 0.000 0.000 0.000 6.136" Properties=species:S:1:pos:R:3 pbc="T T T"
Li 0.000 0.000 0.000
Li 0.000 3.068 3.068
Li 3.068 0.000 3.068
Li 3.068 3.068 0.000
Lu 1.534 1.534 1.534
Lu 1.534 4.602 4.602
Lu 4.602 1.534 4.602
Lu 4.602 4.602 1.534
Si 1.534 1.534 4.602
Si 1.534 4.602 1.534
Si 4.602 1.534 1.534
Si 4.602 4.602 4.602
Ni 0.000 0.000 3.068
Ni 0.000 3.068 0.000
Ni 3.068 0.000 0.000
Ni 3.068 3.068 3.068
```

ΔE_f (raw) ... -0.562 eV per atom

---

VASP calculation (PBE-GGA) on an optimized crystal structure of LiSmLuNi.

```
16
Lattice="6.959 0.000 0.000 0.000 6.959 0.000 0.000 0.000 6.959" Properties=species:S:1:pos:R:3 pbc="T T T"
Li 0.000 0.000 0.000
Li 0.000 3.479 3.479
Li 3.479 0.000 3.479
Li 3.479 3.479 0.000
Sm 1.740 1.740 1.740
Sm 1.740 5.219 5.219
Sm 5.219 1.740 5.219
Sm 5.219 5.219 1.740
Lu 1.740 1.740 5.219
Lu 1.740 5.219 1.740
Lu 5.219 1.740 1.740
Lu 5.219 5.219 5.219
Ni 0.000 0.000 3.479
Ni 0.000 3.479 0.000
Ni 3.479 0.000 0.000
Ni 3.479 3.479 3.479
```

N(E_F) ... 13.481 states/eV per cell
Formation enthalpy at 0 K ... -0.133 eV/atom

---

VASP calculation (PBE-GGA) on an optimized crystal structure of LiTbLuNi.

```
16
Lattice="6.898 0.000 0.000 0.000 6.898 0.000 0.000 0.000 6.898" Properties=species:S:1:pos:R:3 pbc="T T T"
Li 0.000 0.000 0.000
Li 0.000 3.449 3.449
Li 3.449 0.000 3.449
Li 3.449 3.449 0.000
Tb 1.725 1.725 5.174
Tb 1.725 5.174 1.725
Tb 5.174 1.725 1.725
Tb 5.174 5.174 5.174
Lu 1.725 1.725 1.725
Lu 1.725 5.174 5.174
Lu 5.174 1.725 5.174
Lu 5.174 5.174 1.725
Ni 0.000 0.000 3.449
Ni 0.000 3.449 0.000
Ni 3.449 0.000 0.000
Ni 3.449 3.449 3.449
```

N(E_F) ... 13.335 states/eV per cell
Formation enthalpy at 0 K ... -0.162 eV/atom